No. 1
AcZn3N3: optimized geometry, PBE-GGA.

Cell: 8.6896 8.6896 3.3931 Å, 90.00 90.00 120.00°
Space group P6_3/m (No. 176)
Symmetry-distinct sites (fractional):
Ac: 0.3333 0.6667 0.2500 (multiplicity 2)
Zn: 0.0092 0.2997 0.7500 (multiplicity 6)
N: 0.1317 0.7286 0.7500 (multiplicity 6)

Output
- Calculated volume: 221.9 Å³ per cell
- E: -5.0130 eV/atom
- D(E_F): 0.00 states/eV/f.u.
- M_tot: 0.0 μB per cell

---

No. 2
Ac2ZnN: optimized geometry, PBE-GGA.

Cell: 5.953 13.574 6.177 Å, 90.00 90.00 90.00°
Space group Cccm (No. 66)
Symmetry-distinct sites (fractional):
Ac: 0.212 0.102 0.000 (multiplicity 8)
Zn: 0.250 0.250 0.500 (multiplicity 4)
N: 0.000 0.000 0.250 (multiplicity 4)

Output
- E above lowest polymorph: 0.000 eV/f.u.
- Calculated volume: 499.1 Å³ per cell
- D(E_F): 2.49 states/eV/f.u.
- M_tot: 0.0 μB per cell